VASP calculation (PBE) on TlReSb2 after structural relaxation.

## Properties
ΔE_f (raw) in kJ per mole of atoms: 68.5
N(E_F) in states/eV per cell: 3.4
Distance to the lowest polymorph of the same formula in meV per atom: 490

Geometry as CIF:
```
data_TlReSb2
_symmetry_space_group_name_H-M 'P 1'
_symmetry_Int_Tables_number 1
_cell_length_a 3.161
_cell_length_b 3.161
_cell_length_c 10.813
_cell_angle_alpha 90.00
_cell_angle_beta 90.00
_cell_angle_gamma 115.50
loop_
_symmetry_equiv_pos_as_xyz
'x,y,z'
loop_
_atom_site_label
_atom_site_type_symbol
_atom_site_fract_x
_atom_site_fract_y
_atom_site_fract_z
_atom_site_occupancy
Tl1 Tl 0.000 0.000 0.000 1
Re1 Re 0.500 0.500 0.225 1
Sb1 Sb 0.000 0.000 0.413 1
Sb2 Sb 0.500 0.500 0.728 1
```